# LiBe2Co (GGA-PBEsol, relaxed)
# * energy of formation from the pure elements: 28.5 meV per atom
# * density of states at the Fermi level: 0.646 states/eV/atom
# * DFT total energy: -4.397 eV/atom
data_LiBe2Co
_chemical_formula_sum 'Li2 Be4 Co2'
_cell_length_a 2.553
_cell_length_b 3.726
_cell_length_c 7.580
_cell_angle_alpha 90.00
_cell_angle_beta 90.00
_cell_angle_gamma 90.00
_symmetry_space_group_name_H-M 'I m m 2'
_symmetry_Int_Tables_number 44
_symmetry_space_group_name_Hall 'I 2 -2'
loop_
_atom_site_label
_atom_site_fract_x
_atom_site_fract_y
_atom_site_fract_z
Li1 0.000 0.000 0.000
Be1 0.000 0.000 0.493
Be2 0.000 0.500 0.756
Co1 0.000 0.500 0.230


# Li2BeCo (GGA-PBEsol, relaxed)
# * energy of formation from the pure elements: 216.0 meV per atom
# * density of states at the Fermi level: 0.446 states/eV/atom
# * DFT total energy: -3.702 eV/atom
data_Li2BeCo
_chemical_formula_sum 'Li6 Be3 Co3'
_cell_length_a 2.4082
_cell_length_b 2.4082
_cell_length_c 25.8753
_cell_angle_alpha 90.00
_cell_angle_beta 90.00
_cell_angle_gamma 120.00
_symmetry_space_group_name_H-M 'R -3 m'
_symmetry_Int_Tables_number 166
_symmetry_space_group_name_Hall '-R 3 2"'
loop_
_atom_site_label
_atom_site_fract_x
_atom_site_fract_y
_atom_site_fract_z
Li1 0.0000 0.0000 0.2485
Be1 0.0000 0.0000 0.0000
Co1 0.0000 0.0000 0.5000


# LiBeCo2 (GGA-PBEsol, relaxed)
# * energy of formation from the pure elements: 45.7 meV per atom
# * density of states at the Fermi level: 0.825 states/eV/atom
# * DFT total energy: -5.315 eV/atom
data_LiBeCo2
_chemical_formula_sum 'Li2 Be2 Co4'
_cell_length_a 2.590
_cell_length_b 3.914
_cell_length_c 7.769
_cell_angle_alpha 90.00
_cell_angle_beta 90.00
_cell_angle_gamma 90.00
_symmetry_space_group_name_H-M 'C m m m'
_symmetry_Int_Tables_number 65
_symmetry_space_group_name_Hall '-C 2 2'
loop_
_atom_site_label
_atom_site_fract_x
_atom_site_fract_y
_atom_site_fract_z
Li1 0.000 0.000 0.000
Be1 0.000 0.000 0.500
Co1 0.000 0.500 0.274


# Li2BeCo (GGA-PBEsol, relaxed)
# * energy of formation from the pure elements: 153.4 meV per atom
# * density of states at the Fermi level: 0.453 states/eV/atom
# * DFT total energy: -3.764 eV/atom
data_Li2BeCo
_chemical_formula_sum 'Li2 Be1 Co1'
_cell_length_a 2.593
_cell_length_b 3.779
_cell_length_c 4.212
_cell_angle_alpha 90.00
_cell_angle_beta 90.00
_cell_angle_gamma 90.00
_symmetry_space_group_name_H-M 'P m m m'
_symmetry_Int_Tables_number 47
_symmetry_space_group_name_Hall '-P 2 2'
loop_
_atom_site_label
_atom_site_fract_x
_atom_site_fract_y
_atom_site_fract_z
Li1 0.000 0.000 0.000
Li2 0.500 0.500 0.000
Be1 0.000 0.500 0.500
Co1 0.500 0.000 0.500


# LiBe2CoSe (GGA-PBEsol, relaxed)
# * density of states at the Fermi level: 0.440 states/eV/atom
# * energy relative to the elements, uncorrected: 192 meV per atom
# * DFT total energy: -4.119 eV/atom
data_LiBe2CoSe
_chemical_formula_sum 'Li1 Be2 Co1 Se1'
_cell_length_a 4.028
_cell_length_b 4.028
_cell_length_c 4.464
_cell_angle_alpha 90.00
_cell_angle_beta 90.00
_cell_angle_gamma 90.00
_symmetry_space_group_name_H-M 'P 4/m m m'
_symmetry_Int_Tables_number 123
_symmetry_space_group_name_Hall '-P 4 2'
loop_
_atom_site_label
_atom_site_fract_x
_atom_site_fract_y
_atom_site_fract_z
Li1 0.000 0.000 0.000
Be1 0.000 0.500 0.500
Co1 0.500 0.500 0.500
Se1 0.500 0.500 0.000


# MgBe2Co (GGA-PBEsol, relaxed)
# * energy of formation from the pure elements: 67.8 meV per atom
# * density of states at the Fermi level: 0.456 states/eV/atom
# * DFT total energy: -4.296 eV/atom
data_MgBe2Co
_chemical_formula_sum 'Mg1 Be2 Co1'
_cell_length_a 2.735
_cell_length_b 2.735
_cell_length_c 5.938
_cell_angle_alpha 90.00
_cell_angle_beta 90.00
_cell_angle_gamma 90.00
_symmetry_space_group_name_H-M 'P 4 m m'
_symmetry_Int_Tables_number 99
_symmetry_space_group_name_Hall 'P 4 -2'
loop_
_atom_site_label
_atom_site_fract_x
_atom_site_fract_y
_atom_site_fract_z
Mg1 0.000 0.000 0.000
Be1 0.000 0.000 0.527
Be2 0.500 0.500 0.331
Co1 0.500 0.500 0.699


# MgBe2Co2 (GGA-PBEsol, relaxed)
# * energy of formation from the pure elements: 183.3 meV per atom
# * density of states at the Fermi level: 0.945 states/eV/atom
# * DFT total energy: -4.855 eV/atom
data_MgBe2Co2
_chemical_formula_sum 'Mg2 Be4 Co4'
_cell_length_a 3.838
_cell_length_b 3.838
_cell_length_c 7.803
_cell_angle_alpha 90.00
_cell_angle_beta 90.00
_cell_angle_gamma 90.00
_symmetry_space_group_name_H-M 'I 4/m m m'
_symmetry_Int_Tables_number 139
_symmetry_space_group_name_Hall '-I 4 2'
loop_
_atom_site_label
_atom_site_fract_x
_atom_site_fract_y
_atom_site_fract_z
Mg1 0.000 0.000 0.000
Be1 0.000 0.500 0.250
Co1 0.000 0.000 0.362


# Mg2ZrBeCo (GGA-PBEsol, relaxed)
# * energy of formation from the pure elements: 437.2 meV per atom
# * density of states at the Fermi level: 0.749 states/eV/atom
# * DFT total energy: -4.415 eV/atom
data_Mg2ZrBeCo
_chemical_formula_sum 'Mg2 Zr1 Be1 Co1'
_cell_length_a 4.420
_cell_length_b 4.420
_cell_length_c 4.144
_cell_angle_alpha 90.00
_cell_angle_beta 90.00
_cell_angle_gamma 90.00
_symmetry_space_group_name_H-M 'P 4/m m m'
_symmetry_Int_Tables_number 123
_symmetry_space_group_name_Hall '-P 4 2'
loop_
_atom_site_label
_atom_site_fract_x
_atom_site_fract_y
_atom_site_fract_z
Mg1 0.000 0.500 0.000
Zr1 0.000 0.000 0.500
Be1 0.500 0.500 0.000
Co1 0.500 0.500 0.500


# MnBeCo2 (GGA-PBEsol, relaxed)
# * energy of formation from the pure elements: -87.0 meV per atom
# * density of states at the Fermi level: 0.784 states/eV/atom
# * DFT total energy: -7.396 eV/atom
data_MnBeCo2
_chemical_formula_sum 'Mn1 Be1 Co2'
_cell_length_a 3.740
_cell_length_b 3.740
_cell_length_c 2.780
_cell_angle_alpha 90.00
_cell_angle_beta 90.00
_cell_angle_gamma 90.00
_symmetry_space_group_name_H-M 'P 4/m m m'
_symmetry_Int_Tables_number 123
_symmetry_space_group_name_Hall '-P 4 2'
loop_
_atom_site_label
_atom_site_fract_x
_atom_site_fract_y
_atom_site_fract_z
Mn1 0.000 0.000 0.000
Be1 0.500 0.500 0.000
Co1 0.000 0.500 0.500


# MnBe2Co (GGA-PBEsol, relaxed)
# * energy of formation from the pure elements: -154.5 meV per atom
# * density of states at the Fermi level: 0.582 states/eV/atom
# * DFT total energy: -6.529 eV/atom
data_MnBe2Co
_chemical_formula_sum 'Mn1 Be2 Co1'
_cell_length_a 3.653
_cell_length_b 3.653
_cell_length_c 2.717
_cell_angle_alpha 90.00
_cell_angle_beta 90.00
_cell_angle_gamma 90.00
_symmetry_space_group_name_H-M 'P 4/m m m'
_symmetry_Int_Tables_number 123
_symmetry_space_group_name_Hall '-P 4 2'
loop_
_atom_site_label
_atom_site_fract_x
_atom_site_fract_y
_atom_site_fract_z
Mn1 0.000 0.000 0.000
Be1 0.000 0.500 0.500
Co1 0.500 0.500 0.000


# MnBeCo2 (GGA-PBEsol, relaxed)
# * energy of formation from the pure elements: -33.0 meV per atom
# * density of states at the Fermi level: 1.203 states/eV/atom
# * DFT total energy: -7.342 eV/atom
data_MnBeCo2
_chemical_formula_sum 'Mn1 Be1 Co2'
_cell_length_a 2.462
_cell_length_b 2.462
_cell_length_c 6.196
_cell_angle_alpha 90.00
_cell_angle_beta 90.00
_cell_angle_gamma 90.00
_symmetry_space_group_name_H-M 'P 4 m m'
_symmetry_Int_Tables_number 99
_symmetry_space_group_name_Hall 'P 4 -2'
loop_
_atom_site_label
_atom_site_fract_x
_atom_site_fract_y
_atom_site_fract_z
Mn1 0.000 0.000 0.000
Be1 0.500 0.500 0.245
Co1 0.000 0.000 0.465
Co2 0.500 0.500 0.740


# Mn2BeCo (GGA-PBEsol, relaxed)
# * energy of formation from the pure elements: 17.4 meV per atom
# * density of states at the Fermi level: 1.000 states/eV/atom
# * DFT total energy: -7.797 eV/atom
data_Mn2BeCo
_chemical_formula_sum 'Mn2 Be1 Co1'
_cell_length_a 2.423
_cell_length_b 2.423
_cell_length_c 6.555
_cell_angle_alpha 90.00
_cell_angle_beta 90.00
_cell_angle_gamma 90.00
_symmetry_space_group_name_H-M 'P 4/m m m'
_symmetry_Int_Tables_number 123
_symmetry_space_group_name_Hall '-P 4 2'
loop_
_atom_site_label
_atom_site_fract_x
_atom_site_fract_y
_atom_site_fract_z
Mn1 0.000 0.000 0.239
Be1 0.500 0.500 0.000
Co1 0.500 0.500 0.500


# Mn2BeCo (GGA-PBEsol, relaxed)
# * energy of formation from the pure elements: -74.4 meV per atom
# * density of states at the Fermi level: 0.932 states/eV/atom
# * DFT total energy: -7.889 eV/atom
data_Mn2BeCo
_chemical_formula_sum 'Mn4 Be2 Co2'
_cell_length_a 2.749
_cell_length_b 3.601
_cell_length_c 7.632
_cell_angle_alpha 90.00
_cell_angle_beta 90.00
_cell_angle_gamma 90.00
_symmetry_space_group_name_H-M 'I m m m'
_symmetry_Int_Tables_number 71
_symmetry_space_group_name_Hall '-I 2 2'
loop_
_atom_site_label
_atom_site_fract_x
_atom_site_fract_y
_atom_site_fract_z
Mn1 0.000 0.000 0.244
Be1 0.000 0.500 0.500
Co1 0.000 0.500 0.000


# Mn2BeCo (GGA-PBEsol, relaxed)
# * energy of formation from the pure elements: -54.9 meV per atom
# * density of states at the Fermi level: 1.162 states/eV/atom
# * DFT total energy: -7.870 eV/atom
data_Mn2BeCo
_chemical_formula_sum 'Mn8 Be4 Co4'
_cell_length_a 5.393
_cell_length_b 5.393
_cell_length_c 5.393
_cell_angle_alpha 90.00
_cell_angle_beta 90.00
_cell_angle_gamma 90.00
_symmetry_space_group_name_H-M 'F -4 3 m'
_symmetry_Int_Tables_number 216
_symmetry_space_group_name_Hall 'F -4 2 3'
loop_
_atom_site_label
_atom_site_fract_x
_atom_site_fract_y
_atom_site_fract_z
Mn1 0.000 0.000 0.000
Mn2 0.250 0.250 0.250
Be1 0.000 0.000 0.500
Co1 0.250 0.250 0.750


# Mn2BeCo (GGA-PBEsol, relaxed)
# * energy of formation from the pure elements: -76.0 meV per atom
# * density of states at the Fermi level: 0.895 states/eV/atom
# * DFT total energy: -7.891 eV/atom
data_Mn2BeCo
_chemical_formula_sum 'Mn2 Be1 Co1'
_cell_length_a 2.653
_cell_length_b 2.653
_cell_length_c 5.385
_cell_angle_alpha 90.00
_cell_angle_beta 90.00
_cell_angle_gamma 90.00
_symmetry_space_group_name_H-M 'P 4 m m'
_symmetry_Int_Tables_number 99
_symmetry_space_group_name_Hall 'P 4 -2'
loop_
_atom_site_label
_atom_site_fract_x
_atom_site_fract_y
_atom_site_fract_z
Mn1 0.000 0.000 0.000
Mn2 0.500 0.500 0.241
Be1 0.000 0.000 0.490
Co1 0.500 0.500 0.711